(1)
Here is an optimized crystal structure of Th3GaSi2Rh9 from Alexandria via LeMat-Bulk. Energies are from PBE.

abc: 6.8541 6.8541 6.9239
angles: 90.00 90.00 120.00
Space group P-3m1 (No. 164)
Symmetry-distinct sites (fractional):
Th 0.0000 0.0000 0.0000
Th 0.3333 0.6667 0.6684
Ga 0.0000 0.0000 0.5000
Si 0.3333 0.6667 0.1532
Rh 0.0000 0.5000 0.0000
Rh 0.1794 0.3588 0.3443

Computed properties:
Final energy in eV per cell: -112.1
Total magnetization in Bohr magnetons per cell: 0.00
Raw formation energy in eV/atom: -0.655

(2)
Here is an optimized crystal structure of Zr2ZnGa from Alexandria via LeMat-Bulk. Energies are from PBE.

abc: 4.357 4.357 3.955
angles: 90.00 90.00 90.00
Space group P4/mmm (No. 123)
Symmetry-distinct sites (fractional):
Zr 0.000 0.500 0.000
Zn 0.000 0.000 0.500
Ga 0.500 0.500 0.500

Computed properties:
Final energy in eV per cell: -23.0
ΔH_f (0 K) in eV/atom: -0.401
Total magnetization in Bohr magnetons per cell: 0.00

(3)
Here is an optimized crystal structure of Sr3Cu2Rh from Alexandria via LeMat-Bulk. Energies are from PBE.

abc: 12.420 4.384 12.582
angles: 90.00 90.00 90.00
Space group Pnma (No. 62)
Symmetry-distinct sites (fractional):
Sr 0.060 0.250 0.127
Sr 0.113 0.750 0.552
Sr 0.213 0.250 0.798
Cu 0.035 0.750 0.316
Cu 0.205 0.750 0.984
Rh 0.128 0.250 0.368

Computed properties:
Final energy in eV per cell: -86.2
ΔH_f (0 K) in eV/atom: -0.159
Total magnetization in Bohr magnetons per cell: 0.00

(4)
Here is an optimized crystal structure of Be3SI from Alexandria via LeMat-Bulk. Energies are from PBE.

abc: 4.372 4.372 4.372
angles: 90.00 90.00 90.00
Space group Pm-3m (No. 221)
Symmetry-distinct sites (fractional):
Be 0.000 0.000 0.500
S 0.000 0.000 0.000
I 0.500 0.500 0.500

Computed properties:
Final energy in eV per cell: -12.8
Total magnetization in Bohr magnetons per cell: 0.00
Raw formation energy in eV/atom: 0.802

Look up the final energy of the third one.
-86.2 eV per cell